The following is a DFT calculation (GGA-PBE) of a geometry-optimized SiGeC structure.

* volume: 17.69 Å³/atom
* energy relative to the elements, uncorrected: 0.79 eV per atom
* size of the total moment: 0.00 μB/f.u.
* energy above the most stable polymorph in this dataset: 0.532 eV per atom

Unit cell a=3.146 b=3.864 c=4.974 alpha=110.27 beta=105.40 gamma=97.24
Space group P1 (No. 1)
Asymmetric unit:
Si 0.000 0.000 0.000
Ge 0.823 0.324 0.648
C 0.202 0.203 0.404